Er3NpP4: relaxed, PBE-GGA.

The structure belongs to space group P2/c (No. 13); the cell edges are 6.858, 7.917 and 6.857 Å and the angles 90.00°, 109.51° and 90.00°. The distinct sites, in fractional coordinates, are Er at (0.000, 0.124, 0.250), Er at (0.000, 0.373, 0.750), Er at (0.500, 0.124, 0.750), Np at (0.500, 0.374, 0.250), P at (0.251, 0.127, 0.003) and P at (0.254, 0.377, 0.499).

The value obtained for the calculated formation energy is -1.42 eV/atom. The total magnetic moment comes out at 6.97 μB/cell.